1.
Compound: NbCdGeTe
Source: Alexandria via LeMat-Bulk
Functional: PBE
Structure: optimized geometry

The structure in extended XYZ format:
```
4
Lattice="2.929 -1.745 0.000 2.929 1.745 0.000 -1.686 0.000 8.856" Properties=species:S:1:pos:R:3 pbc="T T T"
Nb 0.000 0.000 0.000
Cd -0.001 0.000 4.080
Ge 1.989 0.000 1.882
Te 2.206 0.000 6.893
```

## Properties
- ΔE_f (raw): -0.04 eV/atom
- N(E_F): 2.3 states/eV per cell
- Space group: No. 8
- ΔE to the lowest computed polymorph: 0.20 eV/f.u.

=====

2.
Compound: NbCdGeTe
Source: Alexandria via LeMat-Bulk
Functional: PBE
Structure: optimized geometry

The structure in extended XYZ format:
```
4
Lattice="3.884 0.000 0.000 0.000 3.832 0.000 -1.919 0.000 5.768" Properties=species:S:1:pos:R:3 pbc="T T T"
Nb 0.000 0.000 0.000
Cd 1.923 0.000 2.505
Ge -0.039 1.916 1.790
Te 0.029 1.916 4.680
```

## Properties
- ΔE_f (raw): 0.02 eV/atom
- N(E_F): 2.5 states/eV per cell
- Space group: No. 6
- ΔE to the lowest computed polymorph: 0.43 eV/f.u.

=====

Please write out number 2 again, unchanged.
Compound: NbCdGeTe
Source: Alexandria via LeMat-Bulk
Functional: PBE
Structure: optimized geometry

The structure in extended XYZ format:
```
4
Lattice="3.884 0.000 0.000 0.000 3.832 0.000 -1.919 0.000 5.768" Properties=species:S:1:pos:R:3 pbc="T T T"
Nb 0.000 0.000 0.000
Cd 1.923 0.000 2.505
Ge -0.039 1.916 1.790
Te 0.029 1.916 4.680
```

## Properties
- ΔE_f (raw): 0.02 eV/atom
- N(E_F): 2.5 states/eV per cell
- Space group: No. 6
- ΔE to the lowest computed polymorph: 0.43 eV/f.u.